Record 1
VASP calculation (PBE) on a geometry-optimized FeSbPt2 structure.

Summary:
- electronic total energy (eV per atom) = -6.193

Cell lengths 4.539, 4.539, 4.539 Å; angles 60.00, 60.00, 60.00 degrees
Site moments in Bohr magnetons follow the coordinates.
Fractional positions:
Fe 0.500 0.500 0.500  2.71
Pt 0.000 0.000 0.000  0.09
Pt 0.250 0.250 0.250  0.15
Sb 0.750 0.750 0.750  -0.03

---

Record 2
VASP calculation (PBE) on a geometry-optimized FeSb2Pt structure.

Summary:
- polymorph energy (0 for the lowest one) (kcal/mol of atoms) = 6.499

Cell lengths 7.846, 7.846, 7.846 Å; angles 25.21, 25.21, 25.21 degrees
Site moments in Bohr magnetons follow the coordinates.
Fractional positions:
Fe 0.250 0.250 0.250  2.05
Pt 0.750 0.750 0.750  -0.09
Sb 0.997 0.997 0.997  -0.06
Sb 0.503 0.503 0.503  -0.06

---

Record 3
VASP calculation (PBE) on a geometry-optimized FeSb2Pt structure.

Summary:
- polymorph energy (0 for the lowest one) (kcal/mol of atoms) = 8.597

Cell lengths 4.508, 4.508, 8.723 Å; angles 75.02, 75.02, 90.00 degrees
Fractional positions:
Sb 0.605 0.125 0.250
Sb 0.145 0.625 0.250
Sb 0.375 0.395 0.750
Sb 0.875 0.855 0.750
Fe 0.500 0.500 0.000
Fe 0.250 0.750 0.500
Pt 0.000 0.000 0.000
Pt 0.750 0.250 0.500

---

Record 4
VASP calculation (PBE) on a geometry-optimized FeSbPt2 structure.

Summary:
- electronic total energy (eV per atom) = -6.215

Cell lengths 3.535, 3.536, 5.519 Å; angles 90.00, 90.00, 90.00 degrees
Site moments in Bohr magnetons follow the coordinates.
Fractional positions:
Fe 0.500 0.500 0.795  3.12
Pt 0.000 0.000 0.965  0.29
Pt 0.500 0.500 0.266  0.07
Sb 0.000 0.000 0.473  -0.01

---

Record 5
VASP calculation (PBE) on a geometry-optimized FeSb2PtSe structure.

Summary:
- electronic total energy (eV per atom) = -4.799

Cell lengths 5.036, 5.036, 4.254 Å; angles 90.00, 90.00, 90.00 degrees
Fractional positions:
Sb 0.000 0.500 0.000
Sb 0.500 0.000 0.000
Se 0.000 0.000 0.500
Pt 0.500 0.500 0.500
Fe 0.000 0.000 0.000

---

Record 6
VASP calculation (PBE) on a geometry-optimized SrFeSb2Pt structure.

Summary:
- electronic total energy (eV per atom) = -4.475

Cell lengths 5.242, 5.618, 5.242 Å; angles 90.00, 90.00, 90.00 degrees
Site moments in Bohr magnetons follow the coordinates.
Fractional positions:
Sb 0.000 0.000 0.500  -0.01
Sb 0.500 0.000 0.000  -0.05
Fe 0.500 0.500 0.500  3.21
Pt 0.000 0.000 0.000  -0.05
Sr 0.000 0.500 0.000  -0.02

---

Record 7
VASP calculation (PBE) on a geometry-optimized FeSb2TePt structure.

Summary:
- polymorph energy (0 for the lowest one) (kcal/mol of atoms) = 0.000

Cell lengths 4.782, 4.782, 5.012 Å; angles 90.00, 90.00, 90.00 degrees
Site moments in Bohr magnetons follow the coordinates.
Fractional positions:
Sb 0.000 0.500 0.000  -0.01
Sb 0.500 0.000 0.000  -0.01
Te 0.000 0.000 0.500  0.01
Fe 0.000 0.000 0.000  0.31
Pt 0.500 0.500 0.500  -0.01

---

Record 8
VASP calculation (PBE) on a geometry-optimized ZnFeSb2Pt structure.

Summary:
- electronic total energy (eV per atom) = -4.417

Cell lengths 4.756, 4.569, 4.756 Å; angles 90.00, 90.00, 90.00 degrees
Fractional positions:
Sb 0.000 0.000 0.500
Sb 0.500 0.000 0.000
Zn 0.000 0.500 0.000
Fe 0.000 0.000 0.000
Pt 0.500 0.500 0.500

---

Record 9
VASP calculation (PBE) on a geometry-optimized ScFe2Pt9 structure.

Summary:
- energy of formation from the pure elements (eV/atom) = -0.4894

Cell lengths 3.951, 3.951, 11.836 Å; angles 90.00, 90.00, 90.00 degrees
Site moments in Bohr magnetons follow the coordinates.
Fractional positions:
Sc 0.000 0.000 0.000  -0.01
Fe 0.000 0.000 0.336  3.34
Fe 0.000 0.000 0.664  3.34
Pt 0.500 0.500 0.000  0.16
Pt 0.500 0.500 0.336  0.37
Pt 0.500 0.500 0.664  0.37
Pt 0.500 0.000 0.173  0.25
Pt 0.500 0.000 0.500  0.43
Pt 0.500 0.000 0.827  0.25
Pt 0.000 0.500 0.173  0.25
Pt 0.000 0.500 0.500  0.43
Pt 0.000 0.500 0.827  0.25

---

Record 10
VASP calculation (PBE) on a geometry-optimized ScFePt2 structure.

Summary:
- energy of formation from the pure elements (eV/atom) = -0.6433

Cell lengths 4.560, 2.905, 4.790 Å; angles 90.05, 90.00, 90.00 degrees
Site moments in Bohr magnetons follow the coordinates.
Fractional positions:
Fe 0.500 0.623 0.829  3.00
Pt 0.000 0.125 0.928  0.14
Pt 0.500 0.126 0.312  0.11
Sc 0.000 0.626 0.431  -0.08

---

Record 11
VASP calculation (PBE) on a geometry-optimized ScFePt6 structure.

Summary:
- energy of formation from the pure elements (eV/atom) = -0.6342

Cell lengths 3.967, 3.967, 7.919 Å; angles 90.00, 90.00, 90.00 degrees
Site moments in Bohr magnetons follow the coordinates.
Fractional positions:
Sc 0.000 0.000 0.000  0.01
Fe 0.000 0.000 0.500  3.37
Pt 0.500 0.500 0.000  0.15
Pt 0.500 0.500 0.500  0.31
Pt 0.500 0.000 0.258  0.25
Pt 0.500 0.000 0.742  0.25
Pt 0.000 0.500 0.258  0.25
Pt 0.000 0.500 0.742  0.25

---

Record 12
VASP calculation (PBE) on a geometry-optimized ScFe3Pt structure.

Summary:
- energy of formation from the pure elements (eV/atom) = 0.7514
- polymorph energy (0 for the lowest one) (kcal/mol of atoms) = 0.000

Cell lengths 4.672, 4.672, 4.672 Å; angles 90.00, 90.00, 90.00 degrees
Site moments in Bohr magnetons follow the coordinates.
Fractional positions:
Sc 0.500 0.500 0.500  -0.59
Fe 0.000 0.500 0.000  3.21
Fe 0.000 0.000 0.500  3.20
Fe 0.500 0.000 0.000  2.60
Pt 0.000 0.000 0.000  0.41

---

Record 13
VASP calculation (PBE) on a geometry-optimized Sc4FePt structure.

Summary:
- energy of formation from the pure elements (eV/atom) = 0.3416
- polymorph energy (0 for the lowest one) (kcal/mol of atoms) = 19.980

Cell lengths 5.477, 5.477, 5.477 Å; angles 60.00, 60.00, 60.00 degrees
Site moments in Bohr magnetons follow the coordinates.
Fractional positions:
Sc 0.876 0.375 0.375  -0.23
Sc 0.375 0.375 0.876  -0.23
Sc 0.375 0.876 0.375  -0.23
Sc 0.375 0.375 0.375  -0.23
Fe 0.750 0.750 0.750  2.77
Pt 0.000 0.000 0.000  0.00

---

Record 14
VASP calculation (PBE) on a geometry-optimized ScFePt2 structure.

Summary:
- energy of formation from the pure elements (eV/atom) = -0.2649

Cell lengths 3.967, 3.967, 9.249 Å; angles 77.62, 77.62, 90.00 degrees
Site moments in Bohr magnetons follow the coordinates.
Fractional positions:
Sc 0.500 0.500 0.000  -0.20
Sc 0.250 0.750 0.500  -0.20
Fe 0.000 0.000 0.000  2.64
Fe 0.750 0.250 0.500  2.64
Pt 0.640 0.125 0.250  0.11
Pt 0.110 0.625 0.250  0.10
Pt 0.375 0.360 0.750  0.12
Pt 0.875 0.890 0.750  0.12